LaOsC3 | PBE | optimized geometry

Results
* E above lowest polymorph: 0.0000 eV per atom
* space-group type: No. 221
* uncorrected energy: -40.0 eV/f.u.
* E_form: 0.7617 eV per atom

Cell and atoms, written as CIF:
```
data_LaOsC3
_chemical_formula_sum 'La1 Os1 C3'
_cell_length_a 4.040
_cell_length_b 4.040
_cell_length_c 4.040
_cell_angle_alpha 90.00
_cell_angle_beta 90.00
_cell_angle_gamma 90.00
_symmetry_space_group_name_H-M 'P 1'
_symmetry_Int_Tables_number 1
loop_
_symmetry_equiv_pos_as_xyz
'x,y,z'
loop_
_atom_site_label
_atom_site_type_symbol
_atom_site_fract_x
_atom_site_fract_y
_atom_site_fract_z
Os1 Os 0.000 0.000 0.000
C1 C 0.000 0.500 0.000
C2 C 0.500 0.000 0.000
C3 C 0.000 0.000 0.500
La1 La 0.500 0.500 0.500
```